[1]
{
  "formula": "SrMgCuSi2",
  "functional": "GGA-PBE",
  "state": "relaxed",
  "raw_formation_energy_mev_per_atom": 108.7,
  "spacegroup": "P4/mmm, No. 123",
  "m_tot_mub_per_cell": 0.00,
  "vol_a3_per_atom": 21.6,
  "total_energy_ev_per_atom": -3.535,
  "lattice": [[-3.574, -1.626, 2.662], [0.057, -4.129, -2.445], [3.119, -1.790, 3.095]],
  "species": ["Sr", "Cu", "Mg", "Si", "Si"],
  "fractional_positions": [[0.500, 0.500, 0.500], [0.000, 0.000, 0.000], [0.000, 0.500, 0.000], [0.000, 0.000, 0.500], [0.500, 0.000, 0.000]]
}



[2]
{
  "formula": "SrMgCu2Si",
  "functional": "GGA-PBE",
  "state": "relaxed",
  "raw_formation_energy_mev_per_atom": 1315.5,
  "spacegroup": "P4/mmm, No. 123",
  "m_tot_mub_per_cell": 0.00,
  "vol_a3_per_atom": 30.9,
  "total_energy_ev_per_atom": -2.063,
  "lattice": [[5.253, 0.000, 0.000], [0.000, 5.595, 0.000], [0.000, 0.000, 5.253]],
  "species": ["Cu", "Cu", "Sr", "Si", "Mg"],
  "fractional_positions": [[0.500, 0.000, 0.000], [0.000, 0.000, 0.500], [0.000, 0.000, 0.000], [0.000, 0.500, 0.000], [0.500, 0.500, 0.500]]
}



[3]
{
  "formula": "TbMgCu2Si2",
  "functional": "GGA-PBE",
  "state": "relaxed",
  "raw_formation_energy_mev_per_atom": -460.8,
  "spacegroup": "P-3m1, No. 164",
  "m_tot_mub_per_cell": 0.00,
  "vol_a3_per_atom": 16.7,
  "total_energy_ev_per_atom": -4.671,
  "lattice": [[-1.969, -3.629, -0.024], [4.090, 0.126, 0.551], [-0.919, 0.454, 6.714]],
  "species": ["Tb", "Si", "Si", "Cu", "Cu", "Mg"],
  "fractional_positions": [[0.000, 0.000, 0.000], [0.333, 0.667, 0.265], [0.667, 0.333, 0.735], [0.333, 0.667, 0.696], [0.667, 0.333, 0.304], [0.000, 0.000, 0.500]]
}



[4]
{
  "formula": "MgCuSi2Te6",
  "functional": "GGA-PBE",
  "state": "relaxed",
  "raw_formation_energy_mev_per_atom": -107.5,
  "spacegroup": "C2/c, No. 15",
  "m_tot_mub_per_cell": 0.00,
  "vol_a3_per_atom": 30.8,
  "total_energy_ev_per_atom": -3.646,
  "lattice": [[-1.627, -3.796, 5.827], [7.307, -6.076, 0.757], [4.064, 4.970, 7.047]],
  "species": ["Si", "Si", "Si", "Si", "Te", "Te", "Te", "Te", "Te", "Te", "Te", "Te", "Te", "Te", "Te", "Te", "Mg", "Mg", "Cu", "Cu"],
  "fractional_positions": [[0.233, 0.383, 0.228], [0.267, 0.772, 0.617], [0.733, 0.228, 0.383], [0.767, 0.617, 0.772], [0.342, 0.177, 0.042], [0.912, 0.382, 0.889], [0.658, 0.823, 0.958], [0.588, 0.111, 0.618], [0.483, 0.543, 0.698], [0.088, 0.618, 0.111], [0.412, 0.889, 0.382], [0.842, 0.042, 0.177], [0.158, 0.958, 0.823], [0.517, 0.457, 0.302], [0.983, 0.698, 0.543], [0.017, 0.302, 0.457], [0.750, 0.130, 0.870], [0.250, 0.870, 0.130], [0.750, 0.782, 0.218], [0.250, 0.218, 0.782]]
}



[5]
{
  "formula": "ThMg2CuSi2",
  "functional": "GGA-PBE",
  "state": "relaxed",
  "raw_formation_energy_mev_per_atom": 203.7,
  "spacegroup": "I4/mmm, No. 139",
  "m_tot_mub_per_cell": 0.00,
  "vol_a3_per_atom": 22.9,
  "total_energy_ev_per_atom": -4.055,
  "lattice": [[-1.227, 4.811, 1.399], [-4.717, -0.623, -1.993], [1.282, -3.848, 4.846]],
  "species": ["Si", "Si", "Mg", "Mg", "Th", "Cu"],
  "fractional_positions": [[0.786, 0.786, 0.572], [0.214, 0.214, 0.428], [0.250, 0.750, 0.500], [0.750, 0.250, 0.500], [0.500, 0.500, 0.000], [0.000, 0.000, 0.000]]
}



[6]
{
  "formula": "TmMgCuSi",
  "functional": "GGA-PBE",
  "state": "relaxed",
  "raw_formation_energy_mev_per_atom": -302.7,
  "spacegroup": "F-43m, No. 216",
  "m_tot_mub_per_cell": 0.00,
  "vol_a3_per_atom": 18.3,
  "total_energy_ev_per_atom": -4.199,
  "lattice": [[-3.243, -1.400, -3.091], [-3.081, -3.339, 1.181], [-4.513, 1.102, 0.672]],
  "species": ["Mg", "Si", "Tm", "Cu"],
  "fractional_positions": [[0.500, 0.500, 0.500], [0.750, 0.750, 0.750], [0.000, 0.000, 0.000], [0.250, 0.250, 0.250]]
}



[7]
{
  "formula": "YMgCuSi",
  "functional": "GGA-PBE",
  "state": "relaxed",
  "raw_formation_energy_mev_per_atom": -298.0,
  "spacegroup": "F-43m, No. 216",
  "m_tot_mub_per_cell": 0.00,
  "vol_a3_per_atom": 18.9,
  "total_energy_ev_per_atom": -4.692,
  "lattice": [[4.743, 0.000, 0.000], [2.372, 4.108, 0.000], [2.372, 1.369, 3.873]],
  "species": ["Cu", "Mg", "Y", "Si"],
  "fractional_positions": [[0.250, 0.250, 0.250], [0.000, 0.000, 0.000], [0.500, 0.500, 0.500], [0.750, 0.750, 0.750]]
}



[8]
{
  "formula": "Sm3Mg4Cu4",
  "functional": "GGA-PBE",
  "state": "relaxed",
  "spacegroup": "Immm, No. 71",
  "m_tot_mub_per_cell": 0.00,
  "vol_a3_per_atom": 21.6,
  "ef_ev_per_atom": -0.14,
  "total_energy_ev_per_atom": -3.500,
  "lattice": [[-3.347, -1.350, 1.345], [-2.732, -0.845, -7.645], [5.791, -5.933, 2.944]],
  "species": ["Sm", "Sm", "Sm", "Cu", "Cu", "Cu", "Cu", "Mg", "Mg", "Mg", "Mg"],
  "fractional_positions": [[0.000, 0.500, 0.000], [0.887, 0.887, 0.774], [0.113, 0.113, 0.226], [0.500, 0.802, 0.000], [0.239, 0.739, 0.478], [0.761, 0.261, 0.522], [0.500, 0.198, 0.000], [0.672, 0.860, 0.345], [0.672, 0.484, 0.345], [0.328, 0.516, 0.655], [0.328, 0.140, 0.655]]
}



[9]
{
  "formula": "Sm4MgCu",
  "functional": "GGA-PBE",
  "state": "relaxed",
  "spacegroup": "Pmmm, No. 47",
  "m_tot_mub_per_cell": 0.00,
  "vol_a3_per_atom": 31.9,
  "ef_ev_per_atom": 0.23,
  "total_energy_ev_per_atom": -3.866,
  "lattice": [[4.913, 0.000, -0.001], [0.000, 4.925, -0.003], [0.004, 0.004, 7.915]],
  "species": ["Sm", "Sm", "Sm", "Sm", "Mg", "Cu"],
  "fractional_positions": [[0.001, 0.497, 0.712], [0.001, 0.497, 0.284], [0.501, 0.997, 0.713], [0.501, 0.997, 0.283], [0.501, 0.498, 0.998], [0.001, 0.998, 0.498]]
}



[10]
{
  "formula": "Sm2MgCu",
  "functional": "GGA-PBE",
  "state": "relaxed",
  "spacegroup": "Fm-3m, No. 225",
  "polymorph_energy_ev_per_fu": 0.28,
  "m_tot_mub_per_cell": 0.00,
  "vol_a3_per_atom": 25.3,
  "ef_ev_per_atom": -0.05,
  "total_energy_ev_per_atom": -3.829,
  "lattice": [[-3.150, 1.744, 3.795], [0.977, -1.241, 4.987], [1.692, 3.668, 3.324]],
  "species": ["Sm", "Sm", "Cu", "Mg"],
  "fractional_positions": [[0.750, 0.750, 0.750], [0.250, 0.250, 0.250], [0.500, 0.500, 0.500], [0.000, 0.000, 0.000]]
}



[11]
{
  "formula": "SmMgCu10",
  "functional": "GGA-PBE",
  "state": "relaxed",
  "spacegroup": "Pmmm, No. 47",
  "m_tot_mub_per_cell": 0.00,
  "vol_a3_per_atom": 14.7,
  "ef_ev_per_atom": -0.10,
  "total_energy_ev_per_atom": -4.041,
  "lattice": [[4.091, 0.000, 0.000], [0.000, 4.988, 0.000], [0.000, 0.000, 8.647]],
  "species": ["Cu", "Cu", "Cu", "Cu", "Cu", "Cu", "Cu", "Cu", "Cu", "Cu", "Sm", "Mg"],
  "fractional_positions": [[0.500, 0.250, 0.252], [0.000, 0.000, 0.656], [0.500, 0.000, 0.500], [0.500, 0.750, 0.748], [0.000, 0.000, 0.344], [0.000, 0.500, 0.818], [0.500, 0.750, 0.252], [0.500, 0.500, 0.000], [0.500, 0.250, 0.748], [0.000, 0.500, 0.182], [0.000, 0.000, 0.000], [0.000, 0.500, 0.500]]
}



[12]
{
  "formula": "SmMgCu",
  "functional": "GGA-PBE",
  "state": "relaxed",
  "spacegroup": "I4mm, No. 107",
  "m_tot_mub_per_cell": 0.00,
  "vol_a3_per_atom": 22.2,
  "ef_ev_per_atom": -0.07,
  "total_energy_ev_per_atom": -3.544,
  "lattice": [[-3.133, 1.178, 0.318], [-0.290, -1.571, 2.959], [3.791, 4.985, 1.107]],
  "species": ["Mg", "Sm", "Cu"],
  "fractional_positions": [[0.648, 0.648, 0.296], [0.930, 0.930, 0.861], [0.271, 0.271, 0.543]]
}



[13]
{
  "formula": "SmMgCu5",
  "functional": "GGA-PBE",
  "state": "relaxed",
  "spacegroup": "Pnma, No. 62",
  "m_tot_mub_per_cell": 0.00,
  "vol_a3_per_atom": 15.8,
  "ef_ev_per_atom": -0.19,
  "total_energy_ev_per_atom": -4.021,
  "lattice": [[5.086, 0.000, 0.000], [0.000, 8.282, 0.000], [0.000, 0.000, 10.517]],
  "species": ["Cu", "Cu", "Cu", "Cu", "Cu", "Cu", "Cu", "Cu", "Cu", "Cu", "Cu", "Cu", "Cu", "Cu", "Cu", "Cu", "Cu", "Cu", "Cu", "Cu", "Sm", "Sm", "Sm", "Sm", "Mg", "Mg", "Mg", "Mg"],
  "fractional_positions": [[0.004, 0.568, 0.813], [0.996, 0.432, 0.187], [0.250, 0.087, 0.483], [0.750, 0.815, 0.744], [0.996, 0.932, 0.313], [0.496, 0.068, 0.687], [0.750, 0.053, 0.893], [0.250, 0.685, 0.244], [0.504, 0.432, 0.187], [0.750, 0.413, 0.983], [0.250, 0.185, 0.256], [0.250, 0.447, 0.393], [0.750, 0.315, 0.756], [0.250, 0.947, 0.107], [0.004, 0.068, 0.687], [0.750, 0.553, 0.607], [0.750, 0.913, 0.517], [0.250, 0.587, 0.017], [0.504, 0.932, 0.313], [0.496, 0.568, 0.813], [0.250, 0.247, 0.940], [0.750, 0.253, 0.440], [0.250, 0.747, 0.560], [0.750, 0.753, 0.060], [0.250, 0.363, 0.638], [0.750, 0.137, 0.138], [0.250, 0.863, 0.862], [0.750, 0.637, 0.362]]
}



[14]
{
  "formula": "SmMg4Cu2",
  "functional": "GGA-PBE",
  "state": "relaxed",
  "spacegroup": "P4_2/mnm, No. 136",
  "polymorph_energy_ev_per_fu": 0.00,
  "m_tot_mub_per_cell": 0.00,
  "vol_a3_per_atom": 20.8,
  "ef_ev_per_atom": -0.11,
  "total_energy_ev_per_atom": -2.865,
  "lattice": [[4.172, 0.000, 0.000], [0.000, 8.351, 0.000], [0.000, 0.000, 8.351]],
  "species": ["Sm", "Sm", "Mg", "Mg", "Mg", "Mg", "Mg", "Mg", "Mg", "Mg", "Cu", "Cu", "Cu", "Cu"],
  "fractional_positions": [[0.000, 0.500, 0.500], [0.500, 0.000, 0.000], [0.500, 0.588, 0.167], [0.500, 0.167, 0.588], [0.500, 0.833, 0.412], [0.000, 0.333, 0.088], [0.500, 0.412, 0.833], [0.000, 0.667, 0.912], [0.000, 0.912, 0.667], [0.000, 0.088, 0.333], [0.500, 0.293, 0.293], [0.500, 0.707, 0.707], [0.000, 0.207, 0.793], [0.000, 0.793, 0.207]]
}



[15]
{
  "formula": "SmMgCu",
  "functional": "GGA-PBE",
  "state": "relaxed",
  "spacegroup": "Pmma, No. 51",
  "m_tot_mub_per_cell": 0.00,
  "vol_a3_per_atom": 22.6,
  "ef_ev_per_atom": -0.19,
  "total_energy_ev_per_atom": -3.659,
  "lattice": [[-2.066, 3.200, -0.978], [-5.845, -4.465, -2.263], [-5.164, 0.464, 12.420]],
  "species": ["Cu", "Cu", "Cu", "Cu", "Cu", "Cu", "Sm", "Sm", "Sm", "Sm", "Sm", "Sm", "Mg", "Mg", "Mg", "Mg", "Mg", "Mg"],
  "fractional_positions": [[0.000, 0.551, 0.250], [0.000, 0.449, 0.750], [0.500, 0.948, 0.908], [0.500, 0.052, 0.408], [0.500, 0.052, 0.092], [0.500, 0.948, 0.592], [0.000, 0.230, 0.543], [0.000, 0.856, 0.750], [0.000, 0.770, 0.457], [0.000, 0.144, 0.250], [0.000, 0.230, 0.957], [0.000, 0.770, 0.043], [0.500, 0.566, 0.875], [0.500, 0.434, 0.125], [0.500, 0.793, 0.250], [0.500, 0.566, 0.625], [0.500, 0.207, 0.750], [0.500, 0.434, 0.375]]
}



[16]
{
  "formula": "SmMgCu",
  "functional": "GGA-PBE",
  "state": "relaxed",
  "spacegroup": "C2/m, No. 12",
  "m_tot_mub_per_cell": 0.00,
  "vol_a3_per_atom": 22.6,
  "ef_ev_per_atom": -0.17,
  "total_energy_ev_per_atom": -3.645,
  "lattice": [[-3.888, 2.005, -0.121], [-4.593, -4.265, -2.195], [-3.248, -1.266, 4.252]],
  "species": ["Cu", "Cu", "Mg", "Mg", "Sm", "Sm"],
  "fractional_positions": [[0.866, 0.669, 0.599], [0.134, 0.331, 0.401], [0.814, 0.084, 0.287], [0.186, 0.916, 0.713], [0.576, 0.668, 0.180], [0.424, 0.332, 0.820]]
}



[17]
{
  "formula": "SmMg2Cu2",
  "functional": "GGA-PBE",
  "state": "relaxed",
  "spacegroup": "P2_1/m, No. 11",
  "polymorph_energy_ev_per_fu": 0.13,
  "m_tot_mub_per_cell": 0.00,
  "vol_a3_per_atom": 20.7,
  "ef_ev_per_atom": -0.10,
  "total_energy_ev_per_atom": -3.322,
  "lattice": [[-1.300, -3.285, -1.598], [4.275, -2.118, 0.877], [-4.841, -2.756, 9.602]],
  "species": ["Sm", "Sm", "Mg", "Mg", "Mg", "Mg", "Cu", "Cu", "Cu", "Cu"],
  "fractional_positions": [[0.250, 0.683, 0.244], [0.750, 0.317, 0.756], [0.750, 0.149, 0.104], [0.250, 0.851, 0.896], [0.250, 0.252, 0.504], [0.750, 0.748, 0.496], [0.250, 0.364, 0.971], [0.750, 0.636, 0.029], [0.250, 0.797, 0.659], [0.750, 0.203, 0.341]]
}



[18]
{
  "formula": "SmMg4Cu2",
  "functional": "GGA-PBE",
  "state": "relaxed",
  "spacegroup": "Cmmm, No. 65",
  "polymorph_energy_ev_per_fu": 0.02,
  "m_tot_mub_per_cell": 0.00,
  "vol_a3_per_atom": 21.0,
  "ef_ev_per_atom": -0.11,
  "total_energy_ev_per_atom": -2.863,
  "lattice": [[-2.354, -1.115, -3.347], [-0.109, -4.018, 1.415], [-6.698, 3.670, 3.489]],
  "species": ["Cu", "Cu", "Sm", "Mg", "Mg", "Mg", "Mg"],
  "fractional_positions": [[0.500, 0.574, 0.148], [0.500, 0.426, 0.852], [0.000, 0.000, 0.000], [0.000, 0.324, 0.648], [0.000, 0.676, 0.352], [0.500, 0.175, 0.351], [0.500, 0.825, 0.649]]
}



[19]
{
  "formula": "SmMg2Cu9",
  "functional": "GGA-PBE",
  "state": "relaxed",
  "spacegroup": "P6_3/mmc, No. 194",
  "polymorph_energy_ev_per_fu": 0.00,
  "m_tot_mub_per_cell": 0.00,
  "vol_a3_per_atom": 14.9,
  "ef_ev_per_atom": -0.17,
  "total_energy_ev_per_atom": -3.902,
  "lattice": [[5.081, 0.000, 0.000], [-2.540, 4.400, 0.000], [0.000, 0.000, 15.990]],
  "species": ["Cu", "Cu", "Cu", "Cu", "Cu", "Cu", "Cu", "Cu", "Cu", "Cu", "Cu", "Cu", "Cu", "Cu", "Cu", "Cu", "Cu", "Cu", "Mg", "Mg", "Mg", "Mg", "Sm", "Sm"],
  "fractional_positions": [[0.832, 0.663, 0.622], [0.168, 0.832, 0.122], [0.000, 0.000, 0.000], [0.168, 0.337, 0.122], [0.337, 0.168, 0.622], [0.832, 0.168, 0.622], [0.832, 0.168, 0.878], [0.000, 0.000, 0.750], [0.168, 0.832, 0.378], [0.000, 0.000, 0.500], [0.663, 0.832, 0.122], [0.663, 0.832, 0.378], [0.337, 0.168, 0.878], [0.333, 0.667, 0.250], [0.832, 0.663, 0.878], [0.168, 0.337, 0.378], [0.000, 0.000, 0.250], [0.667, 0.333, 0.750], [0.333, 0.667, 0.532], [0.667, 0.333, 0.032], [0.667, 0.333, 0.468], [0.333, 0.667, 0.968], [0.333, 0.667, 0.750], [0.667, 0.333, 0.250]]
}



[20]
{
  "formula": "SmMg2Cu6",
  "functional": "GGA-PBE",
  "state": "relaxed",
  "spacegroup": "Immm, No. 71",
  "m_tot_mub_per_cell": 0.00,
  "vol_a3_per_atom": 17.1,
  "ef_ev_per_atom": -0.02,
  "total_energy_ev_per_atom": -3.626,
  "lattice": [[3.631, 0.000, 0.000], [1.816, 6.971, 1.296], [1.816, 2.647, 6.578]],
  "species": ["Cu", "Cu", "Cu", "Cu", "Cu", "Cu", "Sm", "Mg", "Mg"],
  "fractional_positions": [[0.500, 0.674, 0.326], [0.683, 0.626, 0.009], [0.317, 0.991, 0.374], [0.683, 0.009, 0.626], [0.500, 0.326, 0.674], [0.317, 0.374, 0.991], [0.000, 0.000, 0.000], [0.867, 0.633, 0.633], [0.133, 0.367, 0.367]]
}